HfFe3P | GGA-PBEsol | relaxed

**VASP energy**: -8.760 eV per atom
**Crystal system**: cubic
**SG**: Pm-3m
**Energy of formation**: -123 meV/atom

a b c (Å): 4.0420 4.0420 4.0420
angles (deg): 90.00 90.00 90.00
Last column: nearest neighbours and their distance in Å.
Element x y z (fractional)
Fe  0.0000  0.0000  0.5000  2 P 2.02
Fe  0.0000  0.5000  0.0000  2 P 2.02
Fe  0.5000  0.0000  0.0000  2 P 2.02
P  0.0000  0.0000  0.0000  6 Fe 2.02
Hf  0.5000  0.5000  0.5000  12 Fe 2.86